# La2ZrCuGe (PBE, relaxed)
data_La2ZrCuGe
_cell_length_a 5.408
_cell_length_b 5.408
_cell_length_c 5.043
_cell_angle_alpha 90.00
_cell_angle_beta 90.00
_cell_angle_gamma 90.00
_space_group_name_H-M_alt 'P 1'
_space_group_IT_number 1
_space_group_name_Hall 'P 1'
loop_
_atom_site_label
_atom_site_type_symbol
_atom_site_fract_x
_atom_site_fract_y
_atom_site_fract_z
La1 La 0.000 0.500 0.000
La2 La 0.500 0.000 0.000
Zr1 Zr 0.000 0.000 0.500
Cu1 Cu 0.000 0.000 0.000
Ge1 Ge 0.500 0.500 0.500
# Density ... 5.69 g cm⁻³
# Space group ... No. 123
# Final energy ... -5.228 eV/atom
# Energy of formation ... 0.195 eV/atom